## CdCoNiSn (PBE-GGA)

Data for a relaxed structure of CdCoNiSn.

V   15.3 Å³/atom
VASP energy   -69.4 eV/cell

a b c (Å): 6.2531 6.2531 6.2531
angles (deg): 90.00 90.00 90.00
Space group F-43m (No. 216)
Symmetry-distinct sites (fractional):
Cd1 0.0000 0.0000 0.0000 x4
Co1 0.2500 0.2500 0.7500 x4
Ni1 0.2500 0.2500 0.2500 x4
Sn1 0.0000 0.0000 0.5000 x4